(1)
Sr3AlO4F (PBEsol, relaxed); formation energy from raw total energies = -3108.9 meV per atom; space-group type = No. 140; E = -6.72 eV/atom
1.0
-3.359 3.359 5.572
3.359 -3.359 5.572
3.359 3.359 -5.572
Sr Al O F
6 2 8 2
direct
0.167 0.667 0.835
0.250 0.250 0.000
0.333 0.167 0.500
0.667 0.833 0.500
0.750 0.750 0.000
0.833 0.333 0.165
0.250 0.750 0.500
0.750 0.250 0.500
0.004 0.792 0.500
0.208 0.708 0.212
0.292 0.504 0.500
0.496 0.996 0.788
0.504 0.004 0.212
0.708 0.496 0.500
0.792 0.292 0.788
0.996 0.208 0.500
0.000 0.000 0.000
0.500 0.500 0.000

(2)
BaMg3Rh (PBEsol, relaxed); space-group type = No. 221; E = -3.31 eV/atom; energy relative to the elements = -0.225 eV/atom
1.0
5.089 0.000 0.000
0.000 5.089 0.000
0.000 0.000 5.089
Ba Mg Rh
1 3 1
direct
0.000 0.000 0.000
0.000 0.500 0.500
0.500 0.000 0.500
0.500 0.500 0.000
0.500 0.500 0.500

(3)
CuReAg3 (PBEsol, relaxed); space-group type = No. 221; E = -3.89 eV/atom; energy relative to the elements = 1.627 eV/atom
1.0
4.570 0.000 0.000
0.000 4.570 0.000
0.000 0.000 4.570
Cu Re Ag
1 1 3
direct
0.000 0.000 0.000
0.500 0.500 0.500
0.000 0.000 0.500
0.000 0.500 0.000
0.500 0.000 0.000

(4)
Li13Fe2O12 (PBEsol, relaxed); formation energy from raw total energies = -1672.2 meV per atom; space-group type = No. 1; E = -5.62 eV/atom
1.0
5.472 0.000 0.000
0.008 5.485 0.000
0.040 0.041 7.826
Li Fe O
13 2 12
direct
0.000 0.000 0.000
0.027 0.328 0.418
0.082 0.643 0.722
0.303 0.954 0.531
0.335 0.790 0.197
0.401 0.343 0.835
0.476 0.871 0.881
0.509 0.417 0.530
0.567 0.149 0.223
0.697 0.556 0.263
0.800 0.570 0.970
0.871 0.216 0.718
0.912 0.916 0.312
0.184 0.385 0.109
0.703 0.837 0.601
0.013 0.675 0.155
0.058 0.374 0.889
0.335 0.089 0.052
0.342 0.381 0.318
0.419 0.677 0.674
0.461 0.557 0.035
0.537 0.127 0.664
0.573 0.862 0.376
0.826 0.843 0.819
0.841 0.548 0.547
0.908 0.226 0.195
0.973 0.014 0.533

(5)
Ba2MgGe4Ir4 (PBEsol, relaxed); space-group type = No. 63; E = -6.52 eV/atom; energy relative to the elements = -0.604 eV/atom
1.0
5.543 -3.551 0.000
5.543 3.551 0.000
0.000 0.000 11.556
Ba Mg Ge Ir
4 2 8 8
direct
0.205 0.205 0.000
0.205 0.205 0.500
0.795 0.795 0.000
0.795 0.795 0.500
0.019 0.981 0.750
0.981 0.019 0.250
0.106 0.522 0.250
0.332 0.668 0.577
0.332 0.668 0.923
0.478 0.894 0.250
0.522 0.106 0.750
0.668 0.332 0.077
0.668 0.332 0.423
0.894 0.478 0.750
0.243 0.503 0.750
0.323 0.677 0.130
0.323 0.677 0.370
0.497 0.757 0.750
0.503 0.243 0.250
0.677 0.323 0.630
0.677 0.323 0.870
0.757 0.497 0.250

(6)
ScNbN2F (PBEsol, relaxed); formation energy from raw total energies = -1063.6 meV per atom; space-group type = No. 123; E = -8.35 eV/atom
1.0
4.079 0.000 0.000
0.000 4.079 0.000
0.000 0.000 3.916
Sc Nb N F
1 1 2 1
direct
0.000 0.000 0.000
0.500 0.500 0.500
0.000 0.500 0.500
0.500 0.000 0.500
0.500 0.500 0.000